Entry 1:
FeAu2Cl8 | PBE | relaxed

Geometry as POSCAR:
```
FeAu2Cl8
1.0
-4.0145 -3.7775 -5.6107
6.4985 -0.8695 1.4490
-6.5672 -3.6297 7.1423
Fe Au Cl
1 2 8
Cartesian
0.0000 0.0000 0.0000
0.0836 -3.1727 2.0762
-4.1668 -5.1040 0.9044
-0.9166 -3.9419 6.6660
-0.7225 -2.0351 -0.2697
-1.8913 -2.6255 3.1208
-2.1919 -5.6512 -0.1402
-3.3606 -6.2416 3.2502
-3.1665 -4.3348 -3.6854
2.1249 -3.8652 1.0820
-6.2080 -4.4115 1.8986
```

As for the crystal system: monoclinic. As for the magnetic moment: 2.48 μB/cell. As for the energy relative to the elements, uncorrected: -302 meV per atom.

=====

Entry 2:
CaAg2Os | PBE | relaxed

Geometry as POSCAR:
```
CaAg2Os
1.0
2.8996 0.0121 0.0000
-0.0128 2.8996 0.0000
0.0000 0.0000 8.9055
Ca Os Ag
1 1 2
Cartesian
0.0000 0.0000 4.5845
1.4434 1.4558 6.8004
0.0000 0.0000 8.8187
1.4434 1.4558 2.0601
```

Its energy relative to the lowest polymorph listed for this composition is 21.3 meV per atom. As for the crystal system: tetragonal. As for the magnetic moment: 0.47 μB/cell. The formation energy from the elements comes out at 0.460 eV/atom.

=====

Entry 3:
CrRhC | PBE | relaxed

Geometry as POSCAR:
```
CrRhC
1.0
-1.6012 -1.6031 -1.5218
1.4958 -2.1583 0.6997
-5.0113 -1.3146 6.6576
Cr C Rh
2 2 2
Cartesian
-2.5984 -1.2732 1.6276
-4.3561 -3.0096 5.3062
-3.9309 -1.0312 5.2223
-0.6773 -1.4530 2.2434
-0.4206 -0.1103 0.5588
-2.1783 -1.8468 4.2375
```

Its energy relative to the lowest polymorph listed for this composition is 37.8 meV per atom. As for the crystal system: orthorhombic. As for the magnetic moment: 0.00 μB/cell. The formation energy from the elements comes out at 0.103 eV/atom.

=====

Entry 4:
Mg2Sc2Cd | PBE | relaxed

Geometry as POSCAR:
```
Mg2Sc2Cd
1.0
8.1989 0.0000 0.0000
0.0000 8.1989 0.0000
0.0000 0.0000 3.6592
Sc Mg Cd
4 4 2
Cartesian
2.9732 7.0727 0.0000
7.0727 5.2257 0.0000
5.2257 1.1263 0.0000
1.1263 2.9732 0.0000
1.3127 5.4121 1.8296
5.4121 6.8863 1.8296
6.8863 2.7868 1.8296
2.7868 1.3127 1.8296
0.0000 0.0000 0.0000
4.0995 4.0995 0.0000
```

Its energy relative to the lowest polymorph listed for this composition is 241.5 meV per atom. As for the crystal system: tetragonal. As for the magnetic moment: 1.99 μB/cell. The formation energy from the elements comes out at 0.156 eV/atom.